(1)
{
  "formula": "Y4Be5",
  "functional": "PBE",
  "state": "relaxed",
  "dos_ef_per_ev_cell": 16.19,
  "space_group": "P6_3/mcm (193)",
  "e_above_lowest_polymorph_kj_per_mol_fu": 0,
  "energy_ev_per_fu": -41.58,
  "crystal_system": "hexagonal",
  "lattice_angstrom": [[8.2076, 0.0000, 0.0000], [-4.1038, 7.1080, 0.0000], [0.0000, 0.0000, 5.9991]],
  "species": ["Y", "Y", "Y", "Y", "Y", "Y", "Y", "Y", "Be", "Be", "Be", "Be", "Be", "Be", "Be", "Be", "Be", "Be"],
  "frac_coords": [[0.0000, 0.0000, 0.0000], [0.0000, 0.0000, 0.5000], [0.0000, 0.3701, 0.2500], [0.0000, 0.6299, 0.7500], [0.3701, 0.0000, 0.2500], [0.3701, 0.3701, 0.7500], [0.6299, 0.0000, 0.7500], [0.6299, 0.6299, 0.2500], [0.0000, 0.3087, 0.7500], [0.0000, 0.6913, 0.2500], [0.3087, 0.0000, 0.7500], [0.3087, 0.3087, 0.2500], [0.3333, 0.6667, 0.0000], [0.3333, 0.6667, 0.5000], [0.6667, 0.3333, 0.0000], [0.6667, 0.3333, 0.5000], [0.6913, 0.0000, 0.2500], [0.6913, 0.6913, 0.7500]]
}

(2)
{
  "formula": "CaCe2S4",
  "functional": "PBE",
  "state": "relaxed",
  "dos_ef_per_ev_cell": 26.29,
  "space_group": "I-42d (122)",
  "e_above_lowest_polymorph_kj_per_mol_fu": 0,
  "energy_ev_per_fu": -44.55,
  "crystal_system": "tetragonal",
  "formation_energy_uncorrected_ev_per_atom": -2.024,
  "lattice_angstrom": [[-4.2620, 4.2620, 4.3018], [4.2620, -4.2620, 4.3018], [4.2620, 4.2620, -4.3018]],
  "species": ["Ca", "Ca", "Ce", "Ce", "Ce", "Ce", "S", "S", "S", "S", "S", "S", "S", "S"],
  "frac_coords": [[0.0000, 0.0000, 0.0000], [0.7500, 0.2500, 0.5000], [0.2470, 0.1250, 0.6220], [0.3750, 0.7530, 0.8780], [0.5030, 0.6250, 0.3780], [0.8750, 0.4970, 0.1220], [0.1257, 0.3781, 0.8960], [0.1281, 0.3757, 0.3960], [0.2678, 0.8719, 0.2476], [0.4822, 0.2297, 0.1040], [0.6219, 0.5178, 0.7476], [0.6243, 0.0203, 0.7524], [0.7703, 0.8743, 0.2524], [0.9797, 0.7322, 0.6040]]
}

(3)
{
  "formula": "Ho6Sn2Ru",
  "functional": "PBE",
  "state": "relaxed",
  "dos_ef_per_ev_cell": 6.61,
  "space_group": "Immm (71)",
  "energy_ev_per_fu": -48.06,
  "crystal_system": "orthorhombic",
  "lattice_angstrom": [[-2.5456, 3.5602, 7.4331], [2.5456, -3.5602, 7.4331], [2.5456, 3.5602, -7.4331]],
  "species": ["Ho", "Ho", "Ho", "Ho", "Ho", "Ho", "Sn", "Sn", "Ru"],
  "frac_coords": [[0.0894, 0.3495, 0.7399], [0.2266, 0.0000, 0.2266], [0.3904, 0.6505, 0.7399], [0.6096, 0.3495, 0.2601], [0.7734, 0.0000, 0.7734], [0.9106, 0.6505, 0.2601], [0.3278, 0.8278, 0.5000], [0.6722, 0.1722, 0.5000], [0.0000, 0.5000, 0.5000]]
}

(4)
{
  "formula": "Zr4CrCu",
  "functional": "PBE",
  "state": "relaxed",
  "dos_ef_per_ev_cell": 6.18,
  "space_group": "F-43m (216)",
  "energy_ev_per_fu": -43.91,
  "crystal_system": "cubic",
  "lattice_angstrom": [[0.0000, 4.0145, 4.0145], [4.0145, 0.0000, 4.0145], [4.0145, 4.0145, 0.0000]],
  "species": ["Zr", "Zr", "Zr", "Zr", "Cr", "Cu"],
  "frac_coords": [[0.1242, 0.1242, 0.1242], [0.1242, 0.1242, 0.6275], [0.1242, 0.6275, 0.1242], [0.6275, 0.1242, 0.1242], [0.7500, 0.7500, 0.7500], [0.5000, 0.5000, 0.5000]]
}

(5)
{
  "formula": "LiCaTb2Se4",
  "functional": "PBE",
  "state": "relaxed",
  "dos_ef_per_ev_cell": 2.42,
  "space_group": "P2/m (10)",
  "energy_ev_per_fu": -41.50,
  "crystal_system": "monoclinic",
  "formation_energy_uncorrected_ev_per_atom": -1.799,
  "lattice_angstrom": [[7.0608, 0.0000, 0.0000], [0.0000, 4.0952, 0.0000], [-2.3598, 0.0000, 6.7558]],
  "species": ["Li", "Ca", "Tb", "Tb", "Se", "Se", "Se", "Se"],
  "frac_coords": [[0.0000, 0.0000, 0.0000], [0.5000, 0.5000, 0.0000], [0.0000, 0.5000, 0.5000], [0.5000, 0.0000, 0.5000], [0.2444, 0.0000, 0.7497], [0.2458, 0.5000, 0.2494], [0.7542, 0.5000, 0.7506], [0.7556, 0.0000, 0.2503]]
}

(6)
{
  "formula": "LiBiIrRh",
  "functional": "PBE",
  "state": "relaxed",
  "dos_ef_per_ev_cell": 1.83,
  "space_group": "F-43m (216)",
  "energy_ev_per_fu": -22.32,
  "crystal_system": "cubic",
  "lattice_angstrom": [[0.0000, 3.1843, 3.1843], [3.1843, 0.0000, 3.1843], [3.1843, 3.1843, 0.0000]],
  "species": ["Li", "Bi", "Ir", "Rh"],
  "frac_coords": [[0.0000, 0.0000, 0.0000], [0.5000, 0.5000, 0.5000], [0.2500, 0.2500, 0.2500], [0.7500, 0.7500, 0.7500]]
}

(7)
{
  "formula": "Ac2ZnRh2",
  "functional": "PBE",
  "state": "relaxed",
  "dos_ef_per_ev_cell": 7.14,
  "space_group": "C2/c (15)",
  "e_above_lowest_polymorph_kj_per_mol_fu": 0,
  "energy_ev_per_fu": -27.27,
  "crystal_system": "monoclinic",
  "lattice_angstrom": [[5.2992, -2.9257, 0.0000], [5.2992, 2.9257, 0.0000], [-2.1752, 0.0000, 7.7669]],
  "species": ["Ac", "Ac", "Ac", "Ac", "Zn", "Zn", "Rh", "Rh", "Rh", "Rh"],
  "frac_coords": [[0.0018, 0.2923, 0.1506], [0.2923, 0.0018, 0.6506], [0.7077, 0.9982, 0.3494], [0.9982, 0.7077, 0.8494], [0.3736, 0.6264, 0.2500], [0.6264, 0.3736, 0.7500], [0.2312, 0.5068, 0.4874], [0.4932, 0.7688, 0.0126], [0.5068, 0.2312, 0.9874], [0.7688, 0.4932, 0.5126]]
}

(8)
{
  "formula": "Ce3Hf2UN6",
  "functional": "PBE",
  "state": "relaxed",
  "dos_ef_per_ev_cell": 9.17,
  "space_group": "C2/m (12)",
  "energy_ev_per_fu": -118.54,
  "crystal_system": "monoclinic",
  "formation_energy_uncorrected_ev_per_atom": -1.632,
  "lattice_angstrom": [[2.9120, -5.0451, 0.0000], [2.9120, 5.0451, 0.0000], [-1.9417, 0.0000, 5.7355]],
  "species": ["Ce", "Ce", "Ce", "Hf", "Hf", "U", "N", "N", "N", "N", "N", "N"],
  "frac_coords": [[0.0000, 0.0000, 0.0000], [0.3326, 0.6674, 0.0000], [0.6674, 0.3326, 0.0000], [0.1666, 0.8334, 0.5000], [0.8334, 0.1666, 0.5000], [0.5000, 0.5000, 0.5000], [0.0943, 0.4298, 0.2891], [0.2349, 0.2349, 0.7100], [0.4298, 0.0943, 0.2891], [0.5702, 0.9057, 0.7109], [0.7651, 0.7651, 0.2900], [0.9057, 0.5702, 0.7109]]
}